(1)
Computed, not measured: a relaxed structure of CoBiH2Br at the PBE-GGA level of DFT.

a = 4.0858 Å, b = 4.0858 Å, c = 4.7502 Å
α = 90.00°, β = 90.00°, γ = 90.00°
Space group P4/mmm (No. 123)
One atom of each set of equivalent atoms:
Co 0.0000 0.0000 0.0000 x1
Bi 0.5000 0.5000 0.5000 x1
H 0.0000 0.5000 0.0000 x2
Br 0.0000 0.0000 0.5000 x1

VASP energy   -3.100 eV/atom
Crystal system   tetragonal


(2)
Computed, not measured: a relaxed structure of CoNiBiBr2 at the PBE-GGA level of DFT.

a = 4.7977 Å, b = 4.7977 Å, c = 4.8915 Å
α = 90.00°, β = 90.00°, γ = 90.00°
Space group P4/mmm (No. 123)
One atom of each set of equivalent atoms:
Co 0.0000 0.0000 0.0000 x1
Ni 0.0000 0.0000 0.5000 x1
Bi 0.5000 0.5000 0.0000 x1
Br 0.0000 0.5000 0.5000 x2

Crystal system   tetragonal
Formation energy (no corrections)   0.63 eV/atom


(3)
Computed, not measured: a relaxed structure of RbCo2BiBr8 at the PBE-GGA level of DFT.

a = 6.8750 Å, b = 6.8750 Å, c = 30.9134 Å
α = 90.00°, β = 90.00°, γ = 120.00°
Space group R-3 (No. 148, hexagonal axes)
One atom of each set of equivalent atoms:
Rb 0.0000 0.0000 0.0000 x3
Co 0.0000 0.0000 0.2467 x6
Bi 0.0000 0.0000 0.5000 x3
Br 0.0000 0.0000 0.3220 x6
Br 0.0060 0.3278 0.8890 x18

Crystal system   trigonal
Formation energy (no corrections)   -0.66 eV/atom


(4)
Computed, not measured: a relaxed structure of Co2BiSbBr at the PBE-GGA level of DFT.

a = 4.8226 Å, b = 4.8226 Å, c = 5.7028 Å
α = 90.00°, β = 90.00°, γ = 90.00°
Space group P4/mmm (No. 123)
One atom of each set of equivalent atoms:
Co 0.0000 0.5000 0.0000 x2
Bi 0.0000 0.0000 0.5000 x1
Sb 0.5000 0.5000 0.0000 x1
Br 0.5000 0.5000 0.5000 x1

Crystal system   tetragonal
Formation energy (no corrections)   0.92 eV/atom


(5)
Computed, not measured: a relaxed structure of CoBiSe2Br at the PBE-GGA level of DFT.

a = 4.8032 Å, b = 4.8032 Å, c = 4.8101 Å
α = 90.00°, β = 90.00°, γ = 90.00°
Space group P4/mmm (No. 123)
One atom of each set of equivalent atoms:
Co 0.0000 0.0000 0.0000 x1
Bi 0.5000 0.5000 0.5000 x1
Se 0.0000 0.5000 0.0000 x2
Br 0.0000 0.0000 0.5000 x1

Energy above the lowest structure with this stoichiometry   0.000 eV per atom
Crystal system   tetragonal
Formation energy (no corrections)   0.09 eV/atom


(6)
Computed, not measured: a relaxed structure of CoTcBiBr2 at the PBE-GGA level of DFT.

a = 4.6843 Å, b = 4.6843 Å, c = 5.7140 Å
α = 90.00°, β = 90.00°, γ = 90.00°
Space group P4/mmm (No. 123)
One atom of each set of equivalent atoms:
Co 0.0000 0.0000 0.0000 x1
Tc 0.5000 0.5000 0.5000 x1
Bi 0.0000 0.0000 0.5000 x1
Br 0.0000 0.5000 0.0000 x2

Crystal system   tetragonal
Formation energy (no corrections)   0.84 eV/atom


(7)
Computed, not measured: a relaxed structure of CrBi3Br at the PBE-GGA level of DFT.

a = 5.2406 Å, b = 5.2406 Å, c = 5.2406 Å
α = 90.00°, β = 90.00°, γ = 90.00°
Space group Pm-3m (No. 221)
One atom of each set of equivalent atoms:
Cr 0.0000 0.0000 0.0000 x1
Bi 0.0000 0.0000 0.5000 x3
Br 0.5000 0.5000 0.5000 x1

Energy above the lowest structure with this stoichiometry   0.000 eV per atom
Crystal system   cubic
Formation energy (no corrections)   0.28 eV/atom


(8)
Computed, not measured: a relaxed structure of CrBi3Br at the PBE-GGA level of DFT.

a = 5.6340 Å, b = 5.6340 Å, c = 5.6340 Å
α = 90.00°, β = 90.00°, γ = 90.00°
Space group Pm-3m (No. 221)
One atom of each set of equivalent atoms:
Cr 0.0000 0.0000 0.0000 x1
Bi 0.0000 0.5000 0.5000 x3
Br 0.5000 0.5000 0.5000 x1

Energy above the lowest structure with this stoichiometry   1.289 eV per atom
Crystal system   cubic
Formation energy (no corrections)   1.57 eV/atom


(9)
Computed, not measured: a relaxed structure of Cr3BiBr at the PBE-GGA level of DFT.

a = 5.4199 Å, b = 5.4199 Å, c = 5.4199 Å
α = 90.00°, β = 90.00°, γ = 90.00°
Space group Pm-3m (No. 221)
One atom of each set of equivalent atoms:
Cr 0.0000 0.0000 0.5000 x3
Bi 0.0000 0.0000 0.0000 x1
Br 0.5000 0.5000 0.5000 x1

Crystal system   cubic
Formation energy (no corrections)   1.05 eV/atom


(10)
Computed, not measured: a relaxed structure of CrBi4Br2 at the PBE-GGA level of DFT.

a = 4.9985 Å, b = 4.9985 Å, c = 19.3081 Å
α = 90.00°, β = 90.00°, γ = 90.00°
Space group I4/mmm (No. 139)
One atom of each set of equivalent atoms:
Cr 0.0000 0.0000 0.0000 x2
Bi 0.0000 0.0000 0.1377 x4
Bi 0.0000 0.5000 0.0000 x4
Br 0.0000 0.0000 0.3439 x4

Crystal system   tetragonal
Formation energy (no corrections)   0.16 eV/atom


(11)
Computed, not measured: a relaxed structure of CrBiBr3 at the PBE-GGA level of DFT.

a = 5.1728 Å, b = 5.1728 Å, c = 5.1728 Å
α = 90.00°, β = 90.00°, γ = 90.00°
Space group Pm-3m (No. 221)
One atom of each set of equivalent atoms:
Cr 0.0000 0.0000 0.0000 x1
Bi 0.5000 0.5000 0.5000 x1
Br 0.0000 0.0000 0.5000 x3

Energy above the lowest structure with this stoichiometry   0.000 eV per atom
Crystal system   cubic
Formation energy (no corrections)   -0.14 eV/atom


(12)
Computed, not measured: a relaxed structure of CrBi2Br4 at the PBE-GGA level of DFT.

a = 5.8207 Å, b = 5.8207 Å, c = 15.0448 Å
α = 90.00°, β = 90.00°, γ = 90.00°
Space group I4/mmm (No. 139)
One atom of each set of equivalent atoms:
Cr 0.0000 0.0000 0.0000 x2
Bi 0.0000 0.0000 0.4046 x4
Br 0.0000 0.0000 0.1637 x4
Br 0.0000 0.5000 0.0000 x4

Crystal system   tetragonal
Formation energy (no corrections)   -0.14 eV/atom